1.
A relaxed structure of LaZn4Au3, computed with PBE.

a b c (Å): 4.1844 4.1844 9.3372
angles (deg): 90.00 90.00 90.00
Atoms (fractional coordinates):
Zn 0.5000 0.0000 0.1723
Zn 0.5000 0.0000 0.8277
Zn 0.0000 0.5000 0.8277
Zn 0.0000 0.5000 0.1723
Au 0.0000 0.0000 0.0000
Au 0.5000 0.5000 0.3503
Au 0.5000 0.5000 0.6497
La 0.0000 0.0000 0.5000

- crystal system = tetragonal

=====

2.
A relaxed structure of La2Zn3Au2, computed with PBE.

a b c (Å): 4.7777 5.6206 6.7136
angles (deg): 104.97 90.00 115.15
Atoms (fractional coordinates):
Zn 0.5000 0.0000 0.0000
Zn 0.4049 0.8098 0.5905
Zn 0.5951 0.1902 0.4095
Au 0.8337 0.6674 0.7428
Au 0.1663 0.3326 0.2572
La 0.1416 0.2833 0.7738
La 0.8584 0.7167 0.2262

- crystal system = monoclinic

=====

3.
A relaxed structure of La8Zn2Au, computed with PBE.

a b c (Å): 5.3059 7.0451 9.8197
angles (deg): 101.90 105.67 90.00
Atoms (fractional coordinates):
La 0.4094 0.5486 0.8187
La 0.7995 0.6875 0.5990
La 0.3368 0.0396 0.6736
La 0.5906 0.4514 0.1813
La 0.9736 0.2289 0.9472
La 0.2005 0.3125 0.4010
La 0.6632 0.9604 0.3264
La 0.0264 0.7711 0.0528
Zn 0.1903 0.7371 0.3806
Zn 0.8097 0.2629 0.6194
Au 0.5000 0.0000 0.0000

- crystal system = monoclinic

=====

4.
A relaxed structure of LaZn5Au2, computed with PBE.

a b c (Å): 4.1015 6.6083 6.6083
angles (deg): 68.32 71.92 71.92
Atoms (fractional coordinates):
Zn 0.6341 0.1817 0.5502
Zn 0.3659 0.4498 0.8183
Zn 0.0000 0.5000 0.5000
Zn 0.3659 0.8183 0.4498
Zn 0.6341 0.5502 0.1817
Au 0.2557 0.2443 0.2443
Au 0.7443 0.7557 0.7557
La 0.0000 0.0000 0.0000

- crystal system = orthorhombic

=====

5.
A relaxed structure of La2Zn6Au3, computed with PBE.

a b c (Å): 4.1488 7.9595 7.9595
angles (deg): 120.00 90.00 90.00
Atoms (fractional coordinates):
Zn 0.0000 0.8150 0.0000
Zn 0.5000 0.0000 0.2738
Zn 0.5000 0.7262 0.7262
Zn 0.5000 0.2738 0.0000
Zn 0.0000 0.0000 0.8150
Zn 0.0000 0.1850 0.1850
Au 0.5000 0.0000 0.6080
Au 0.5000 0.3920 0.3920
Au 0.5000 0.6080 0.0000
La 0.0000 0.6667 0.3333
La 0.0000 0.3333 0.6667

- crystal system = hexagonal

=====

6.
A relaxed structure of LaZnAu2, computed with PBE.

a b c (Å): 4.7415 3.9384 9.8688
angles (deg): 101.51 90.00 90.00
Atoms (fractional coordinates):
Au 0.7500 0.7340 0.4679
Au 0.2500 0.2660 0.5321
Au 0.7500 0.4605 0.9209
Au 0.2500 0.5395 0.0791
La 0.7500 0.0996 0.1991
La 0.2500 0.9004 0.8009
Zn 0.2500 0.6733 0.3467
Zn 0.7500 0.3267 0.6533

- crystal system = orthorhombic

=====

7.
A relaxed structure of LaZn3Au3, computed with PBE.

a b c (Å): 4.3144 8.6634 8.6759
angles (deg): 119.96 90.00 90.00
Atoms (fractional coordinates):
Au 0.7500 0.6407 0.5878
Au 0.2500 0.3593 0.4122
Au 0.7500 0.4121 0.0526
Au 0.2500 0.0526 0.6409
Au 0.2500 0.5879 0.9474
Au 0.7500 0.9474 0.3591
Zn 0.7500 0.0003 0.7957
Zn 0.2500 0.7943 0.7943
Zn 0.2500 0.9997 0.2043
Zn 0.7500 0.7946 0.9998
Zn 0.2500 0.2054 0.0002
Zn 0.7500 0.2057 0.2057
La 0.2500 0.6668 0.3333
La 0.7500 0.3332 0.6667

- excess energy over the best structure of this formula in the dataset (eV per atom) = 0.000
- crystal system = monoclinic

=====

8.
A relaxed structure of LaZnAu2, computed with PBE.

a b c (Å): 4.9877 4.9877 9.2319
angles (deg): 74.33 74.33 90.00
Atoms (fractional coordinates):
Zn 0.2500 0.7500 0.5000
Zn 0.5000 0.5000 0.0000
Au 0.5170 0.1250 0.2500
Au 0.2330 0.6250 0.2500
Au 0.8750 0.7670 0.7500
Au 0.3750 0.4830 0.7500
La 0.7500 0.2500 0.5000
La 0.0000 0.0000 0.0000

- crystal system = tetragonal

=====

9.
A relaxed structure of La3ZnAu2, computed with PBE.

a b c (Å): 3.8040 5.3186 8.4461
angles (deg): 108.35 90.00 90.00
Atoms (fractional coordinates):
La 0.5000 0.1700 0.3399
La 0.5000 0.8300 0.6601
La 0.5000 0.5000 0.0000
Zn 0.0000 0.0000 0.0000
Au 0.0000 0.3416 0.6831
Au 0.0000 0.6584 0.3169

- crystal system = orthorhombic

=====

10.
A relaxed structure of La5ZnAu4, computed with PBE.

a b c (Å): 3.7792 3.7792 18.8907
angles (deg): 90.00 90.00 90.00
Atoms (fractional coordinates):
Zn 0.0000 0.0000 0.0000
Au 0.0000 0.0000 0.4003
Au 0.0000 0.0000 0.5997
Au 0.0000 0.0000 0.1974
Au 0.0000 0.0000 0.8026
La 0.5000 0.5000 0.5000
La 0.5000 0.5000 0.9011
La 0.5000 0.5000 0.2990
La 0.5000 0.5000 0.7010
La 0.5000 0.5000 0.0989

- crystal system = tetragonal

=====

11.
A relaxed structure of La3Zn7Au4, computed with PBE.

a b c (Å): 4.5576 8.4875 8.6067
angles (deg): 65.69 74.65 74.43
Atoms (fractional coordinates):
Zn 0.8641 0.3462 0.9256
Zn 0.6672 0.1818 0.4838
Zn 0.4989 0.8169 0.1853
Zn 0.3328 0.8182 0.5162
Zn 0.0000 0.0000 0.0000
Zn 0.5011 0.1831 0.8146
Zn 0.1359 0.6538 0.0744
Au 0.1274 0.0882 0.6570
Au 0.6543 0.4809 0.2104
Au 0.8726 0.9118 0.3430
Au 0.3457 0.5191 0.7896
La 0.0000 0.5000 0.5000
La 0.7032 0.7953 0.7982
La 0.2968 0.2047 0.2018

- crystal system = monoclinic

=====

12.
A relaxed structure of LaZn3Au9, computed with PBE.

a b c (Å): 5.4067 7.0110 7.2881
angles (deg): 83.25 68.23 71.52
Atoms (fractional coordinates):
Au 0.3167 0.6673 0.6450
Au 0.0000 0.5000 0.0000
Au 0.4724 0.7858 0.2177
Au 0.6833 0.3327 0.3550
Au 0.9617 0.6673 0.3550
Au 0.3099 0.2142 0.2177
Au 0.6901 0.7858 0.7823
Au 0.0383 0.3327 0.6450
Au 0.5276 0.2142 0.7823
Zn 0.0000 0.0000 0.5000
Zn 0.5000 0.5000 0.0000
Zn 0.5000 0.0000 0.5000
La 0.0000 0.0000 0.0000

- crystal system = monoclinic

=====

13.
A relaxed structure of La3Zn8Au3, computed with PBE.

a b c (Å): 4.5309 8.4774 8.4774
angles (deg): 66.34 74.50 74.50
Atoms (fractional coordinates):
La 0.5000 0.5000 0.5000
La 0.8113 0.1887 0.1887
La 0.1887 0.8113 0.8113
Zn 0.3671 0.3540 0.9119
Zn 0.1754 0.1858 0.4633
Zn 0.8246 0.5367 0.8142
Zn 0.6329 0.0881 0.6460
Zn 0.3671 0.9119 0.3540
Zn 0.8246 0.8142 0.5367
Zn 0.1754 0.4633 0.1858
Zn 0.6329 0.6460 0.0881
Au 0.5000 0.0000 0.0000
Au 0.0000 0.7684 0.2316
Au 0.0000 0.2316 0.7684

- excess energy over the best structure of this formula in the dataset (eV per atom) = 0.029
- crystal system = orthorhombic

=====

14.
A relaxed structure of LaZnAu, computed with PBE.

a b c (Å): 4.8601 4.8601 4.8601
angles (deg): 60.00 60.00 60.00
Atoms (fractional coordinates):
Zn 0.5000 0.5000 0.5000
Au 0.7500 0.7500 0.7500
La 0.0000 0.0000 0.0000

- crystal system = cubic

=====

15.
A relaxed structure of LaZnAu2, computed with PBE.

a b c (Å): 3.6045 3.5175 7.7158
angles (deg): 63.22 90.00 90.00
Atoms (fractional coordinates):
Zn 0.5000 0.7500 0.7500
Au 0.0000 0.4643 0.5395
Au 0.0000 0.0357 0.9605
La 0.5000 0.2500 0.2500

- crystal system = monoclinic

=====

16.
A relaxed structure of La7Zn2Au2, computed with PBE.

a b c (Å): 6.9655 7.4757 6.9655
angles (deg): 90.00 108.00 90.00
Atoms (fractional coordinates):
La 0.4999 0.2893 0.0000
La 0.5000 0.7073 0.5000
La 0.0000 0.7107 0.4999
La 0.0000 0.0000 0.0000
La 0.5001 0.7107 0.0000
La 0.0000 0.2893 0.5001
La 0.5000 0.2927 0.5000
Zn 0.8464 0.5000 0.8464
Zn 0.1536 0.5000 0.1536
Au 0.2922 0.0000 0.7078
Au 0.7078 0.0000 0.2922

- crystal system = orthorhombic

=====

17.
A relaxed structure of La4ZnAu2, computed with PBE.

a b c (Å): 5.2192 5.2192 9.6316
angles (deg): 74.28 74.28 60.00
Atoms (fractional coordinates):
Au 0.0972 0.0972 0.7083
Au 0.9028 0.9028 0.2917
La 0.7909 0.7909 0.6273
La 0.3754 0.3754 0.8737
La 0.2091 0.2091 0.3727
La 0.6246 0.6246 0.1263
Zn 0.0000 0.0000 0.0000

- excess energy over the best structure of this formula in the dataset (eV per atom) = 0.047
- crystal system = trigonal

=====

18.
A relaxed structure of LaZn2Au2, computed with PBE.

a b c (Å): 4.7512 4.7512 5.7940
angles (deg): 65.79 65.79 90.00
Atoms (fractional coordinates):
Zn 0.3710 0.3710 0.2579
Zn 0.6290 0.6290 0.7421
La 0.0000 0.0000 0.0000
Au 0.2500 0.7500 0.5000
Au 0.7500 0.2500 0.5000

- excess energy over the best structure of this formula in the dataset (eV per atom) = 0.038
- crystal system = tetragonal

=====

19.
A relaxed structure of La2Zn3Au, computed with PBE.

a b c (Å): 5.9438 5.9438 8.8882
angles (deg): 104.83 104.83 103.57
Atoms (fractional coordinates):
La 0.2606 0.2606 0.0000
La 0.7500 0.2500 0.5000
La 0.7394 0.7394 0.0000
La 0.2500 0.7500 0.5000
Zn 0.6735 0.1626 0.8361
Zn 0.8374 0.3265 0.1639
Zn 0.8373 0.8373 0.6746
Zn 0.1627 0.1627 0.3254
Zn 0.3265 0.8374 0.1639
Zn 0.1626 0.6735 0.8361
Au 0.6681 0.6681 0.3361
Au 0.3319 0.3319 0.6639

- crystal system = orthorhombic

=====

20.
A relaxed structure of LaZnAu11, computed with PBE.

a b c (Å): 5.5737 7.2927 7.2322
angles (deg): 82.11 67.33 69.13
Atoms (fractional coordinates):
Zn 0.5000 0.5000 0.0000
Au 0.4874 0.7794 0.2122
Au 0.0000 0.0000 0.5000
Au 0.0001 0.3491 0.6569
Au 0.9999 0.6509 0.3431
Au 0.3430 0.6509 0.6569
Au 0.5126 0.2206 0.7878
Au 0.6996 0.7794 0.7878
Au 0.5000 0.0000 0.5000
Au 0.6570 0.3491 0.3431
Au 0.3004 0.2206 0.2122
Au 0.0000 0.5000 0.0000
La 0.0000 0.0000 0.0000

- crystal system = monoclinic

=====

For the records above, the corresponding energy of formation from the pure elements values read -9.6 -13.1 -5.5 -8.6 -10.1 -14.5 -8.7 -8.3 -14.4 -15.9 -12.4 -8.0 -10.5 -11.1 -11.7 -5.3 -9.8 -12.2 -11.8 -6.0 kcal/mol of atoms.
For the records above, the corresponding DFT total energy values read -23.195 -24.196 -47.866 -20.835 -32.153 -30.544 -42.469 -28.384 -26.364 -45.917 -44.310 -42.752 -41.187 -10.928 -14.791 -46.142 -30.506 -16.665 -40.056 -45.652 eV/cell.